Material: CaZn3Hg
Method: DFT, SCAN
State: single point on PBEsol structure

Cell lengths 4.935, 4.935, 4.935 Å; angles 90.00, 90.00, 90.00 degrees
Fractional positions:
Zn 0.000 0.500 0.000
Zn 0.000 0.000 0.500
Zn 0.500 0.000 0.000
Ca 0.500 0.500 0.500
Hg 0.000 0.000 0.000

**E above lowest polymorph**: 0.000 eV/atom
**D(E_F)**: 0.45 states/eV per atom
**Energy**: -23.5145 eV per atom
**Space-group type**: Pm-3m
**Formation energy from the elements**: 160 meV per atom



Material: Ca2ZrHg
Method: DFT, SCAN
State: single point on PBEsol structure

Cell lengths 3.722, 5.139, 6.295 Å; angles 114.09, 107.20, 90.00 degrees
Fractional positions:
Ca 0.725 0.725 0.450
Ca 0.275 0.275 0.550
Hg 0.000 0.500 0.000
Zr 0.500 0.000 0.000

**D(E_F)**: 1.08 states/eV per atom
**Energy**: -29.5271 eV per atom
**Space-group type**: Immm
**Formation energy from the elements**: 21 meV per atom



Material: CaZr2Hg
Method: DFT, SCAN
State: single point on PBEsol structure

Cell lengths 3.146, 3.146, 9.702 Å; angles 90.00, 90.00, 90.00 degrees
Last column: magnetic moment on the atom in μB.
Fractional positions:
Ca 0.500 0.500 0.000  0.10
Hg 0.500 0.500 0.500  0.03
Zr 0.000 0.000 0.713  0.65
Zr 0.000 0.000 0.287  0.65

**D(E_F)**: 0.84 states/eV per atom
**Energy**: -34.7268 eV per atom
**Space-group type**: P4/mmm
**Formation energy from the elements**: 80 meV per atom



Material: CaZrHg2
Method: DFT, SCAN
State: single point on PBEsol structure

Cell lengths 3.422, 4.819, 6.603 Å; angles 100.27, 90.00, 110.80 degrees
Fractional positions:
Ca 0.000 0.000 0.500
Hg 0.753 0.507 0.785
Hg 0.247 0.493 0.215
Zr 0.500 0.000 0.000

**D(E_F)**: 0.72 states/eV per atom
**Energy**: -44.4793 eV per atom
**Space-group type**: C2/m
**Formation energy from the elements**: -306 meV per atom



Material: CaZr2Hg
Method: DFT, SCAN
State: single point on PBEsol structure

Cell lengths 3.284, 5.059, 5.550 Å; angles 90.00, 90.00, 90.00 degrees
Fractional positions:
Ca 0.500 0.000 0.500
Hg 0.000 0.500 0.500
Zr 0.000 0.000 0.000
Zr 0.500 0.500 0.000

**D(E_F)**: 0.99 states/eV per atom
**Energy**: -34.7749 eV per atom
**Space-group type**: Pmmm
**Formation energy from the elements**: 32 meV per atom



Material: Ca2ZrHg
Method: DFT, SCAN
State: single point on PBEsol structure

Cell lengths 4.503, 4.503, 5.912 Å; angles 112.39, 112.39, 90.00 degrees
Last column: magnetic moment on the atom in μB.
Fractional positions:
Ca 0.750 0.250 0.500  0.02
Ca 0.250 0.750 0.500  0.02
Hg 0.500 0.500 0.000  0.00
Zr 0.000 0.000 0.000  0.19

**D(E_F)**: 0.94 states/eV per atom
**Energy**: -29.4959 eV per atom
**Space-group type**: I4/mmm
**Formation energy from the elements**: 52 meV per atom



Material: CaZrHg2
Method: DFT, SCAN
State: single point on PBEsol structure

Cell lengths 3.425, 5.137, 5.137 Å; angles 90.00, 90.00, 90.00 degrees
Last column: magnetic moment on the atom in μB.
Fractional positions:
Ca 0.500 0.000 0.000  0.01
Hg 0.000 0.000 0.500  0.02
Hg 0.000 0.500 0.000  0.02
Zr 0.500 0.500 0.500  0.48

**D(E_F)**: 0.56 states/eV per atom
**Energy**: -44.6511 eV per atom
**Space-group type**: P4/mmm
**Formation energy from the elements**: -478 meV per atom



Material: CaZrHg2
Method: DFT, SCAN
State: single point on PBEsol structure

Cell lengths 3.837, 3.837, 6.421 Å; angles 90.00, 90.00, 90.00 degrees
Last column: magnetic moment on the atom in μB.
Fractional positions:
Ca 0.500 0.500 0.775  0.06
Hg 0.000 0.000 0.995  0.00
Hg 0.500 0.500 0.271  0.00
Zr 0.000 0.000 0.458  0.33

**D(E_F)**: 0.72 states/eV per atom
**Energy**: -44.3929 eV per atom
**Space-group type**: P4mm
**Formation energy from the elements**: -219 meV per atom



Material: CaZr2Hg
Method: DFT, SCAN
State: single point on PBEsol structure

Cell lengths 3.323, 3.323, 8.767 Å; angles 90.00, 90.00, 90.00 degrees
Fractional positions:
Ca 0.000 0.000 0.527
Hg 0.500 0.500 0.769
Zr 0.000 0.000 0.989
Zr 0.500 0.500 0.215

**D(E_F)**: 0.79 states/eV per atom
**Energy**: -34.9819 eV per atom
**Space-group type**: P4mm
**Formation energy from the elements**: -175 meV per atom



Material: CaZrHg2
Method: DFT, SCAN
State: single point on PBEsol structure

Cell lengths 3.495, 3.495, 7.491 Å; angles 90.00, 90.00, 90.00 degrees
Fractional positions:
Ca 0.500 0.500 0.500
Hg 0.000 0.000 0.771
Hg 0.000 0.000 0.229
Zr 0.500 0.500 0.000

**D(E_F)**: 0.47 states/eV per atom
**Energy**: -44.6661 eV per atom
**Space-group type**: P4/mmm
**Formation energy from the elements**: -493 meV per atom



Material: Ca3HoMn4O12
Method: DFT, SCAN
State: single point on PBEsol structure

Cell lengths 5.226, 5.340, 7.413 Å; angles 90.00, 90.00, 89.76 degrees
Last column: magnetic moment on the atom in μB.
Fractional positions:
Ca 0.990 0.048 0.500  0.01
Ca 0.491 0.455 0.000  0.01
Ca 0.012 0.952 0.000  0.01
Ho 0.512 0.559 0.500  0.03
Mn 0.002 0.499 0.751  3.01
Mn 0.499 0.004 0.249  3.01
Mn 0.002 0.499 0.249  3.01
Mn 0.499 0.004 0.751  3.01
O 0.424 0.979 0.500  0.04
O 0.089 0.483 0.500  0.03
O 0.578 0.016 0.000  0.07
O 0.925 0.519 0.000  0.07
O 0.785 0.783 0.702  0.04
O 0.703 0.296 0.296  0.04
O 0.205 0.207 0.211  0.06
O 0.297 0.705 0.782  0.05
O 0.205 0.207 0.789  0.06
O 0.297 0.705 0.218  0.05
O 0.785 0.783 0.298  0.04
O 0.703 0.296 0.704  0.04

**D(E_F)**: 0.12 states/eV per atom
**Energy**: -14.1118 eV per atom
**Space-group type**: Pm
**E_form (uncorrected)**: -272 kJ per mole of atoms



Material: Ca2HoMn3O9
Method: DFT, SCAN
State: single point on PBEsol structure

Cell lengths 7.499, 9.080, 10.530 Å; angles 73.02, 88.99, 66.25 degrees
Last column: magnetic moment on the atom in μB.
Fractional positions:
Ca 0.445 0.149 0.603  0.01
Ca 0.778 0.478 0.271  0.01
Ca 0.114 0.811 0.938  0.01
Ca 0.886 0.189 0.062  0.01
Ca 0.222 0.522 0.729  0.01
Ca 0.555 0.851 0.397  0.01
Ca 0.287 0.486 0.264  0.01
Ca 0.713 0.514 0.736  0.01
Ho 0.626 0.817 0.932  0.03
Ho 0.960 0.153 0.597  0.03
Ho 0.040 0.847 0.403  0.03
Ho 0.374 0.183 0.068  0.03
Mn 0.000 0.500 0.000  3.13
Mn 0.336 0.831 0.668  3.10
Mn 0.664 0.169 0.332  3.10
Mn 0.500 0.500 0.500  3.10
Mn 0.834 0.834 0.166  3.12
Mn 0.166 0.166 0.834  3.12
Mn 0.500 0.500 0.000  3.11
Mn 0.832 0.834 0.665  3.10
Mn 0.168 0.166 0.335  3.10
Mn 0.333 0.832 0.169  3.09
Mn 0.667 0.168 0.831  3.09
Mn 0.000 0.500 0.500  3.13
O 0.253 0.492 0.043  0.05
O 0.582 0.836 0.713  0.04
O 0.920 0.157 0.381  0.03
O 0.554 0.895 0.146  0.03
O 0.889 0.221 0.815  0.05
O 0.221 0.561 0.484  0.03
O 0.418 0.164 0.287  0.04
O 0.747 0.508 0.957  0.05
O 0.080 0.843 0.619  0.03
O 0.111 0.779 0.185  0.05
O 0.446 0.105 0.854  0.03
O 0.779 0.439 0.516  0.03
O 0.199 0.032 0.018  0.04
O 0.525 0.359 0.681  0.05
O 0.866 0.698 0.349  0.04
O 0.614 0.359 0.179  0.06
O 0.935 0.700 0.848  0.04
O 0.270 0.033 0.517  0.04
O 0.475 0.641 0.319  0.05
O 0.801 0.968 0.982  0.04
O 0.134 0.302 0.651  0.04
O 0.065 0.300 0.152  0.04
O 0.386 0.641 0.821  0.06
O 0.730 0.967 0.483  0.04
O 0.565 0.297 0.951  0.03
O 0.904 0.636 0.615  0.06
O 0.232 0.963 0.288  0.04
O 0.096 0.364 0.385  0.06
O 0.435 0.703 0.049  0.03
O 0.768 0.037 0.712  0.04
O 0.548 0.312 0.436  0.06
O 0.874 0.648 0.102  0.04
O 0.207 0.981 0.770  0.04
O 0.126 0.352 0.898  0.04
O 0.452 0.688 0.564  0.06
O 0.793 0.019 0.230  0.04

**D(E_F)**: 0.13 states/eV per atom
**Energy**: -14.8039 eV per atom
**Space-group type**: P-1
**E_form (uncorrected)**: -276 kJ per mole of atoms



What is the formula in the seventh record? CaZrHg2



Look up the energy of the second one. -29.5271 eV per atom